No. 1
Below is a PBEsol-optimized structure of AlCdW2, with properties calculated at the meta-GGA SCAN level.

The structure in extended XYZ format:
```
4
Lattice="-1.066 2.310 -2.043 -2.351 -2.008 -1.044 -3.805 2.156 4.422" Properties=species:S:1:pos:R:3 pbc="T T T"
Al -1.845 1.045 2.144
W -0.135 0.076 0.156
W -2.619 0.667 -0.485
Cd -4.526 1.747 1.731
```

Values from the calculation:
polymorph energy (0 for the lowest one) = 0.000 eV per atom
SG = P4mm (99)
crystal system = tetragonal
calculated formation energy = 0.250 eV per atom

---

No. 2
Below is a PBEsol-optimized structure of MoI2F, with properties calculated at the meta-GGA SCAN level.

The structure in extended XYZ format:
```
4
Lattice="4.716 0.000 0.000 2.358 4.084 0.000 2.358 1.361 3.851" Properties=species:S:1:pos:R:3 pbc="T T T"
I 2.358 1.361 0.963
I 7.074 4.084 2.888
Mo 4.716 2.723 1.925
F 0.000 0.000 0.000
```

Values from the calculation:
SG = Fm-3m (225)
crystal system = cubic
uncorrected formation energy = -0.657 kcal/mol of atoms